#P
VASP calculation (PBE) on LiHo2S3 after structural relaxation.

```
6
Lattice="-0.841 2.304 2.963 -4.840 -2.464 0.543 5.196 -3.744 1.889" Properties=species:S:1:pos:R:3 pbc="T T T"
Li -0.242 -1.952 2.698
Ho -3.860 -0.770 3.249
Ho 3.375 -3.134 2.146
S -1.431 0.447 2.991
S 0.946 -4.351 2.404
S 2.178 -0.720 2.426
```

symmetry: No. 71
theoretical density: 5.922 Mg/m³

#Q
VASP calculation (PBE) on LiHo2S3 after structural relaxation.

```
6
Lattice="-0.881 0.597 -3.711 -2.157 -3.202 -0.004 -5.018 5.703 4.117" Properties=species:S:1:pos:R:3 pbc="T T T"
Li -5.707 3.848 1.986
Ho -1.259 0.854 0.447
Ho -5.138 1.140 -0.595
S -7.227 2.545 0.127
S -3.522 2.377 1.229
S -2.875 -0.383 -1.378
```

symmetry: No. 139
theoretical density: 5.884 Mg/m³

In meV per atom, relative to the most stable structure: #P 0; #Q 28.

#P
VASP calculation (PBE) on LiHoSb after structural relaxation.

```
3
Lattice="-3.989 -2.534 1.235 0.417 -4.050 2.698 -1.544 -0.018 4.634" Properties=species:S:1:pos:R:3 pbc="T T T"
Sb -1.279 -1.650 2.142
Ho -2.558 -3.301 4.284
Li 0.000 0.000 0.000
```

symmetry: No. 216
theoretical density: 5.916 Mg/m³

#Q
VASP calculation (PBE) on LiHoSb after structural relaxation.

```
3
Lattice="4.080 0.000 0.000 0.000 4.409 0.000 0.000 -2.205 3.819" Properties=species:S:1:pos:R:3 pbc="T T T"
Sb 3.400 2.205 1.273
Ho 1.360 0.000 2.546
Li 3.400 0.000 0.000
```

symmetry: No. 187
theoretical density: 7.098 Mg/m³

In meV per atom, relative to the most stable structure: #P 146; #Q 0.

#P
VASP calculation (PBE) on LiHoSb after structural relaxation.

```
18
Lattice="-1.319 3.123 -2.820 -0.866 -5.074 -5.215 -12.124 -1.844 3.629" Properties=species:S:1:pos:R:3 pbc="T T T"
Li -2.344 -4.442 -5.547
Li -6.521 -4.269 -3.402
Li -11.294 -2.421 -2.569
Li -7.788 0.474 -1.003
Li -3.015 -1.375 -1.836
Li -11.965 0.646 1.142
Ho -5.987 -0.959 -3.432
Ho -9.588 -5.492 -3.321
Ho -4.721 1.696 -1.084
Ho -2.469 -1.122 -5.259
Ho -8.321 -2.837 -0.973
Ho -11.840 -2.673 0.854
Sb -12.018 -4.829 -1.450
Sb -10.377 -0.443 -0.808
Sb -8.559 -2.625 -4.075
Sb -2.291 1.033 -2.955
Sb -5.750 -1.170 -0.330
Sb -3.932 -3.353 -3.598
```

symmetry: No. 11
theoretical density: 7.081 Mg/m³

#Q
VASP calculation (PBE) on LiHoSb after structural relaxation.

```
3
Lattice="-3.147 0.678 -2.550 -1.871 -3.372 1.412 0.528 3.736 3.650" Properties=species:S:1:pos:R:3 pbc="T T T"
Sb -1.176 1.418 1.829
Ho -4.274 0.781 2.176
Li -2.937 -0.832 0.096
```

symmetry: No. 107
theoretical density: 6.609 Mg/m³

In meV per atom, relative to the most stable structure: #P 0; #Q 311.

#P
VASP calculation (PBE) on Li3HoSb2 after structural relaxation.

```
6
Lattice="4.541 0.000 0.000 -2.270 3.933 0.000 0.000 0.000 7.139" Properties=species:S:1:pos:R:3 pbc="T T T"
Li 2.270 1.311 2.500
Li 0.000 2.622 4.639
Li 0.000 0.000 3.570
Ho 0.000 0.000 0.000
Sb 2.270 1.311 5.375
Sb 0.000 2.622 1.764
```

symmetry: No. 164
theoretical density: 5.592 Mg/m³

#Q
VASP calculation (PBE) on Li3HoSb2 after structural relaxation.

```
18
Lattice="-1.727 -1.802 -3.485 8.803 -0.332 -1.555 -1.443 -9.129 5.436" Properties=species:S:1:pos:R:3 pbc="T T T"
Li 0.260 -3.218 1.535
Li 5.372 -8.045 -1.140
Li 2.714 -4.227 0.841
Li 2.919 -7.036 -0.445
Li 0.709 -3.311 -1.276
Li 4.923 -7.952 1.671
Li -1.585 -5.466 0.975
Li 5.013 -0.884 -2.028
Li 0.619 -10.379 2.424
Ho 1.637 -7.007 2.811
Ho 3.995 -4.256 -2.416
Ho 0.000 0.000 0.000
Sb 2.856 -1.832 -0.468
Sb 2.776 -9.431 0.864
Sb 6.925 -2.850 -1.959
Sb -1.293 -8.413 2.354
Sb 4.945 -5.444 0.363
Sb 0.687 -5.819 0.032
```

symmetry: No. 12
theoretical density: 5.462 Mg/m³

In meV per atom, relative to the most stable structure: #P 0; #Q 108.